Compound: TbPr2Au
Source: Alexandria via LeMat-Bulk
Functional: PBE
Structure: relaxed

Calculated values
- energy above the lowest structure with this stoichiometry (eV/f.u.) = 0.32
- symmetry = P1 (1)
- total energy (eV per formula unit) = -18.74
- density (kg/m³) = 8244
- DOS at the Fermi energy (states/eV/cell) = 4.64
- calculated volume (Å³ per cell) = 128.5
- energy relative to the elements (meV/atom) = -318

Unit cell a=3.8188 b=3.8081 c=10.2177 alpha=90.07 beta=89.99 gamma=59.82
Closest atoms and distances in Å follow each position.
Element x y z (fractional)
Tb 0.3777 0.9984 0.8255  3 Au 2.96
Pr 0.0450 0.6689 0.5318  3 Tb 3.71-3.73, 9 Pr 3.75-3.82
Pr 0.3775 0.9989 0.2345  3 Au 3.11-3.12
Au 0.7106 0.3309 0.0189  3 Tb 2.96, 3 Pr 3.11-3.12